Below is a geometry-optimized TmScInHg structure, with properties calculated at the PBE-GGA level.

- energy relative to the elements (eV/atom) = -0.42
- volume (Å³/cell) = 95
- magnetization (μB/f.u.) = 0.2

Cell and atoms, written as extended XYZ:
```
4
Lattice="0.0000 3.6252 3.6252 3.6252 0.0000 3.6252 3.6252 3.6252 0.0000" Properties=species:S:1:pos:R:3 pbc="T T T"
Tm 0.0000 0.0000 0.0000
Sc 3.6252 3.6252 3.6252
In 1.8126 1.8126 1.8126
Hg 5.4378 5.4378 5.4378
```

***

Below is a geometry-optimized TmSc2InHg4 structure, with properties calculated at the PBE-GGA level.

- energy relative to the elements (eV/atom) = -0.34
- volume (Å³/cell) = 184
- magnetization (μB/f.u.) = 0.0

Cell and atoms, written as extended XYZ:
```
8
Lattice="2.5064 1.4470 8.4622 -2.5064 1.4470 8.4622 0.0000 -2.8941 8.4622" Properties=species:S:1:pos:R:3 pbc="T T T"
Tm 0.0000 0.0000 0.0000
Sc 0.0000 0.0000 6.1932
Sc 0.0000 0.0000 19.1934
In 0.0000 0.0000 12.6933
Hg 0.0000 0.0000 3.0690
Hg 0.0000 0.0000 9.3879
Hg 0.0000 0.0000 15.9988
Hg 0.0000 0.0000 22.3176
```

***

Below is a geometry-optimized YSc2In2Hg2 structure, with properties calculated at the PBE-GGA level.

- energy relative to the elements (eV/atom) = -0.26
- volume (Å³/cell) = 171
- magnetization (μB/f.u.) = 0.0

Cell and atoms, written as extended XYZ:
```
7
Lattice="2.4025 1.3871 8.5588 -2.4025 1.3871 8.5588 0.0000 -2.7742 8.5588" Properties=species:S:1:pos:R:3 pbc="T T T"
Y 0.0000 0.0000 0.0000
Sc 0.0000 0.0000 3.4873
Sc 0.0000 0.0000 22.1892
In 0.0000 0.0000 6.8340
In 0.0000 0.0000 18.8425
Hg 0.0000 0.0000 11.2289
Hg 0.0000 0.0000 14.4476
```